{
  "formula": "HPdRhPb2",
  "functional": "GGA-PBE",
  "state": "relaxed",
  "lattice": [[5.053, 0.000, 0.000], [0.000, 5.053, 0.000], [0.000, 0.000, 3.422]],
  "species": ["Pb", "Pb", "Rh", "Pd", "H"],
  "fractional_positions": [[0.000, 0.500, 0.000], [0.500, 0.000, 0.000], [0.000, 0.000, 0.500], [0.500, 0.500, 0.500], [0.000, 0.000, 0.000]],
  "spacegroup": "No. 123",
  "volume_a3_per_atom": 17.5,
  "e_tot_ev_per_atom": -4.647,
  "relative_energy_mev_per_atom": 79
}


{
  "formula": "K2NiHSe2",
  "functional": "GGA-PBE",
  "state": "relaxed",
  "lattice": [[5.991, 0.000, 0.000], [0.000, 9.575, 0.000], [-2.995, -4.787, 6.059]],
  "species": ["Se", "Se", "Se", "Se", "Ni", "Ni", "H", "H", "K", "K", "K", "K"],
  "fractional_positions": [[0.107, 0.732, 0.213], [0.893, 0.268, 0.787], [0.607, 0.481, 0.213], [0.393, 0.519, 0.787], [0.750, 0.500, 0.000], [0.250, 0.500, 0.000], [0.250, 0.000, 0.000], [0.750, 0.000, 0.000], [0.114, 0.278, 0.227], [0.386, 0.051, 0.773], [0.614, 0.949, 0.227], [0.886, 0.722, 0.773]],
  "spacegroup": "No. 72",
  "volume_a3_per_atom": 29.0,
  "e_tot_ev_per_atom": -3.444
}


{
  "formula": "TaMo3W",
  "functional": "GGA-PBE",
  "state": "relaxed",
  "lattice": [[4.689, 0.000, 0.000], [0.000, 4.689, 0.000], [0.000, 0.000, 4.689]],
  "species": ["Mo", "Mo", "Mo", "Ta", "W"],
  "fractional_positions": [[0.000, 0.500, 0.000], [0.500, 0.000, 0.000], [0.000, 0.000, 0.500], [0.500, 0.500, 0.500], [0.000, 0.000, 0.000]],
  "spacegroup": "No. 221",
  "volume_a3_per_atom": 20.6,
  "formation_energy_ev_per_fu": 8.9,
  "e_tot_ev_per_atom": -9.687,
  "relative_energy_mev_per_atom": 1407
}


{
  "formula": "Li2Ca2Sn3",
  "functional": "GGA-PBE",
  "state": "relaxed",
  "lattice": [[-4.022, 4.697, 8.441], [2.140, -8.251, -6.069], [6.555, -1.011, 3.685]],
  "species": ["Sn", "Sn", "Sn", "Sn", "Sn", "Sn", "Ca", "Ca", "Ca", "Ca", "Li", "Li", "Li", "Li"],
  "fractional_positions": [[0.222, 0.778, 0.750], [0.434, 0.566, 0.562], [0.778, 0.222, 0.250], [0.434, 0.566, 0.938], [0.566, 0.434, 0.438], [0.566, 0.434, 0.062], [0.945, 0.055, 0.250], [0.055, 0.945, 0.750], [0.160, 0.840, 0.250], [0.840, 0.160, 0.750], [0.307, 0.693, 0.060], [0.307, 0.693, 0.440], [0.693, 0.307, 0.560], [0.693, 0.307, 0.940]],
  "spacegroup": "No. 63",
  "volume_a3_per_atom": 25.8,
  "formation_energy_ev_per_fu": -3.5,
  "e_tot_ev_per_atom": -3.332,
  "relative_energy_mev_per_atom": 0
}